This record from Alexandria via LeMat-Bulk describes crystalline Li2CrPt at its relaxed geometry. The functional is PBEsol.

Unit cell a=4.2094 b=4.2094 c=4.2094 alpha=60.00 beta=60.00 gamma=60.00
Fractional coordinates of all 4 atoms:
1 Li 0.2500 0.2500 0.2500
2 Li 0.7500 0.7500 0.7500
3 Cr 0.0000 0.0000 0.0000
4 Pt 0.5000 0.5000 0.5000

Values from the calculation:
Energy relative to the elements ... 47 meV/atom
ρ ... 8.22 Mg/m³